# Ac2La3Nd8

A relaxed Ac2La3Nd8 crystal (PBE, the Alexandria database).

The structure belongs to space group C2/m (No. 12); the cell edges are 24.284, 7.332 and 5.420 Å and the angles 90.00°, 90.22° and 90.00°. The distinct sites, in fractional coordinates, are Ac at (0.236, 0.000, 0.000), La at (0.000, 0.236, 0.500), La at (0.000, 0.500, 0.000), Nd at (0.079, 0.000, 0.999), Nd at (0.119, 0.500, 0.996) and Nd at (0.166, 0.246, 0.498).

For the calculated formation energy, the calculation gives 2.2 eV per formula unit. As for the offset from the most stable computed form: 0 meV per atom. Its crystal system is monoclinic. The calculated total energy is -4.537 eV per atom. As for the spin magnetization: 0.0 μB/f.u.



# Y2SbRu

A relaxed Y2SbRu crystal (PBE, the Alexandria database).

The structure belongs to space group R3m (No. 160, hexagonal axes); the cell edges are 4.6825, 4.6825 and 15.4930 Å and the angles 90.00°, 90.00° and 120.00°. The distinct sites, in fractional coordinates, are Y at (0.0000, 0.0000, 0.0000), Y at (0.0000, 0.0000, 0.2036), Sb at (0.0000, 0.0000, 0.7760) and Ru at (0.0000, 0.0000, 0.4153).

The formation energy without anion corrections is -0.478 eV/atom. Its crystal system is trigonal. The calculated total energy is -7.060 eV per atom. As for the spin magnetization: 0.0 μB/f.u.



# In3Ga9Ge2

A relaxed In3Ga9Ge2 crystal (PBE, the Alexandria database).

The structure belongs to space group Immm (No. 71); the cell edges are 4.052, 11.543 and 13.355 Å and the angles 90.00°, 90.00° and 90.00°. The distinct sites, in fractional coordinates, are In at (0.000, 0.000, 0.000), In at (0.000, 0.316, 0.000), Ga at (0.000, 0.000, 0.500), Ga at (0.000, 0.123, 0.318), Ga at (0.000, 0.335, 0.391) and Ge at (0.000, 0.500, 0.261).

For the calculated formation energy, the calculation gives 1.4 eV per formula unit. Its crystal system is orthorhombic. The calculated total energy is -3.091 eV per atom. As for the spin magnetization: 0.0 μB/f.u.



# CaSc4Ta

A relaxed CaSc4Ta crystal (PBE, the Alexandria database).

The structure belongs to space group F-43m (No. 216); the cell edges are 8.456, 8.456 and 8.456 Å and the angles 90.00°, 90.00° and 90.00°. The distinct sites, in fractional coordinates, are Ca at (0.000, 0.000, 0.000), Sc at (0.121, 0.121, 0.621) and Ta at (0.250, 0.250, 0.250).

For the calculated formation energy, the calculation gives 3.3 eV per formula unit. Its crystal system is cubic. The calculated total energy is -5.979 eV per atom. As for the spin magnetization: 1.8 μB/f.u.



# TlFeP2

A relaxed TlFeP2 crystal (PBE, the Alexandria database).

The structure belongs to space group C2/m (No. 12); the cell edges are 5.423, 7.430 and 4.070 Å and the angles 90.00°, 115.63° and 90.00°. The distinct sites, in fractional coordinates, are Tl at (0.000, 0.000, 0.000), Fe at (0.000, 0.500, 0.000) and P at (0.250, 0.250, 0.500).

For the calculated formation energy, the calculation gives 2.6 eV per formula unit. As for the offset from the most stable computed form: 693 meV per atom. Its crystal system is monoclinic. The calculated total energy is -4.753 eV per atom. As for the spin magnetization: 2.9 μB/f.u.



# Er6HgBi3

A relaxed Er6HgBi3 crystal (PBE, the Alexandria database).

The structure belongs to space group Cmcm (No. 63); the cell edges are 11.822, 11.588 and 8.405 Å and the angles 90.00°, 90.00° and 90.00°. The distinct sites, in fractional coordinates, are Er at (0.000, 0.163, 0.005), Er at (0.156, 0.500, 0.000), Er at (0.245, 0.254, 0.250), Hg at (0.000, 0.352, 0.250), Bi at (0.000, 0.358, 0.750) and Bi at (0.146, 0.001, 0.250).

For the calculated formation energy, the calculation gives -5.6 eV per formula unit. Its crystal system is orthorhombic. The calculated total energy is -4.491 eV per atom. As for the spin magnetization: 0.0 μB/f.u.



# UGaPd2

A relaxed UGaPd2 crystal (PBE, the Alexandria database).

The structure belongs to space group P-1 (No. 2); the cell edges are 4.743, 4.792 and 6.667 Å and the angles 92.39°, 107.18° and 101.81°. The distinct sites, in fractional coordinates, are U at (0.238, 0.385, 0.065), Ga at (0.235, 0.857, 0.369), Pd at (0.253, 0.363, 0.556) and Pd at (0.284, 0.898, 0.798).

For the calculated formation energy, the calculation gives -1.8 eV per formula unit. Its crystal system is triclinic. The calculated total energy is -6.615 eV per atom. As for the spin magnetization: 1.9 μB/f.u.



# La6DyHo

A relaxed La6DyHo crystal (PBE, the Alexandria database).

The structure belongs to space group P4/mmm (No. 123); the cell edges are 5.199, 5.199 and 10.403 Å and the angles 90.00°, 90.00° and 90.00°. The distinct sites, in fractional coordinates, are La at (0.000, 0.000, 0.000), La at (0.000, 0.000, 0.500), La at (0.000, 0.500, 0.250), Dy at (0.500, 0.500, 0.000) and Ho at (0.500, 0.500, 0.500).

For the calculated formation energy, the calculation gives 0.1 eV per formula unit. As for the offset from the most stable computed form: 0 meV per atom. Its crystal system is tetragonal. The calculated total energy is -4.836 eV per atom. As for the spin magnetization: 0.0 μB/f.u.



| no. | volume (Å³ per cell) |
| --- | --- |
| 1 | 964.93 |
| 2 | 294.18 |
| 3 | 624.61 |
| 4 | 604.56 |
| 5 | 147.86 |
| 6 | 1151.44 |
| 7 | 140.85 |
| 8 | 281.22 |